The following is a DFT calculation (PBE) of a geometry-optimized Ti4Mn3Re structure.

Geometry as POSCAR:
```
Ti4Mn3Re
1.0
-2.9714 0.3038 0.5033
0.4856 -0.1937 2.9836
1.3256 12.0306 0.5652
Mn Ti Re
3 4 1
Direct
0.5000 0.5000 0.2564
0.5000 0.5000 0.5000
0.5000 0.5000 0.7436
0.0000 0.0000 0.8677
0.0000 0.0000 0.3770
0.0000 0.0000 0.1323
0.0000 0.0000 0.6230
0.5000 0.5000 0.0000
```

Properties
Space group = P4/mmm (123)
V = 13.896 A^3/atom
ΔH_f (0 K) = -2.099 eV per formula unit

***

The following is a DFT calculation (PBE) of a geometry-optimized TiMn3Re structure.

Geometry as POSCAR:
```
TiMn3Re
1.0
4.5562 0.0000 0.0000
0.0000 4.5562 0.0000
0.0000 0.0000 4.5562
Ti Mn Re
1 3 1
Direct
0.5000 0.5000 0.5000
0.0000 0.5000 0.0000
0.5000 0.0000 0.0000
0.0000 0.0000 0.5000
0.0000 0.0000 0.0000
```

Properties
Polymorph energy (0 for the lowest one) = 0 meV/atom
Space group = Pm-3m (221)
V = 18.916 A^3/atom
ΔH_f (0 K) = 5.930 eV per formula unit

***

The following is a DFT calculation (PBE) of a geometry-optimized Ti4MnRe3 structure.

Geometry as POSCAR:
```
Ti4MnRe3
1.0
-2.1101 -1.4910 -1.6984
2.0517 -2.2383 -0.5841
-3.7897 -6.0998 10.0637
Re Ti Mn
3 4 1
Direct
0.5000 0.5000 0.5000
0.5000 0.5000 0.7549
0.5000 0.5000 0.2451
0.0000 0.0000 0.3727
0.0000 0.0000 0.1189
0.0000 0.0000 0.8811
0.0000 0.0000 0.6273
0.5000 0.5000 0.0000
```

Properties
Space group = P4/mmm (123)
V = 14.774 A^3/atom
ΔH_f (0 K) = -2.703 eV per formula unit

***

The following is a DFT calculation (PBE) of a geometry-optimized Ti6MnRe5 structure.

Geometry as POSCAR:
```
Ti6MnRe5
1.0
-3.0498 2.9212 -1.1800
-1.5432 -3.5717 -4.8532
-2.1499 -2.8129 6.7399
Re Ti Mn
5 6 1
Direct
0.6665 0.6665 0.3331
0.3335 0.3335 0.6669
0.0000 0.5000 0.0000
0.3353 0.8353 0.6707
0.6647 0.1647 0.3293
0.8333 0.5831 0.6665
0.1667 0.4169 0.3335
0.1667 0.9165 0.3335
0.8333 0.0835 0.6665
0.5000 0.2497 0.0000
0.5000 0.7503 0.0000
0.0000 0.0000 0.0000
```

Properties
Space group = Immm (71)
V = 14.988 A^3/atom
ΔH_f (0 K) = -4.296 eV per formula unit

***

The following is a DFT calculation (PBE) of a geometry-optimized TiMn8Re3 structure.

Geometry as POSCAR:
```
TiMn8Re3
1.0
-1.8653 -0.4896 -4.2559
-2.5391 -1.0000 3.7927
-2.4860 7.2716 0.2530
Mn Re Ti
8 3 1
Direct
0.3333 0.6667 0.5033
0.1606 0.3213 0.2492
0.9888 0.4944 0.7497
0.1606 0.8394 0.2492
0.5056 0.4944 0.7497
0.6787 0.8394 0.2492
0.5056 0.0112 0.7497
0.3333 0.6667 0.0033
0.6667 0.3333 0.0675
0.6667 0.3333 0.4299
0.0000 0.0000 0.9365
0.0000 0.0000 0.5627
```

Properties
Space group = P3m1 (156)
V = 12.115 A^3/atom
ΔH_f (0 K) = -1.822 eV per formula unit

***

The following is a DFT calculation (PBE) of a geometry-optimized Ti4Mn5Re structure.

Geometry as POSCAR:
```
Ti4Mn5Re
1.0
2.9696 0.0000 0.0000
0.0000 2.9696 0.0000
0.0000 0.0000 14.9381
Mn Ti Re
5 4 1
Direct
0.5000 0.5000 0.2983
0.5000 0.5000 0.0971
0.5000 0.5000 0.7017
0.5000 0.5000 0.5000
0.5000 0.5000 0.9029
0.0000 0.0000 0.2020
0.0000 0.0000 0.6009
0.0000 0.0000 0.7980
0.0000 0.0000 0.3991
0.0000 0.0000 0.0000
```

Properties
Space group = P4/mmm (123)
V = 13.174 A^3/atom
ΔH_f (0 K) = -2.244 eV per formula unit

***

The following is a DFT calculation (PBE) of a geometry-optimized Ti2MnRe structure.

Geometry as POSCAR:
```
Ti2MnRe
1.0
-2.6019 -1.5599 0.3629
1.1260 -2.2741 -1.7016
2.2767 -2.6295 5.0209
Ti Mn Re
2 1 1
Direct
0.0000 0.0000 0.7604
0.0000 0.0000 0.2396
0.5000 0.5000 0.0000
0.5000 0.5000 0.5000
```

Properties
Polymorph energy (0 for the lowest one) = 0 meV/atom
Space group = P4/mmm (123)
V = 14.254 A^3/atom
ΔH_f (0 K) = -1.180 eV per formula unit

***

The following is a DFT calculation (PBE) of a geometry-optimized TiMn4Re structure.

Geometry as POSCAR:
```
TiMn4Re
1.0
-2.8550 3.7103 -0.4612
-1.3323 1.4249 -4.2807
-4.4472 -0.6145 -1.4053
Mn Ti Re
4 1 1
Direct
0.1306 0.6231 0.6231
0.6231 0.6231 0.6231
0.6231 0.6231 0.1306
0.6231 0.1306 0.6231
0.2500 0.2500 0.2500
0.0000 0.0000 0.0000
```

Properties
Space group = F-43m (216)
V = 12.269 A^3/atom
ΔH_f (0 K) = -0.936 eV per formula unit

***

The following is a DFT calculation (PBE) of a geometry-optimized Ti2MnRe structure.

Geometry as POSCAR:
```
Ti2MnRe
1.0
3.0741 0.0000 0.0000
0.0000 4.3368 0.0000
0.0000 0.0000 4.3368
Ti Mn Re
2 1 1
Direct
0.0000 0.0000 0.5000
0.0000 0.5000 0.0000
0.5000 0.5000 0.5000
0.5000 0.0000 0.0000
```

Properties
Polymorph energy (0 for the lowest one) = 4 meV/atom
Space group = P4/mmm (123)
V = 14.455 A^3/atom
ΔH_f (0 K) = -1.164 eV per formula unit

***

The following is a DFT calculation (PBE) of a geometry-optimized TiMnRe2 structure.

Geometry as POSCAR:
```
TiMnRe2
1.0
-0.6517 3.8698 5.8133
4.0275 -4.5615 3.4880
3.7342 0.9676 4.0057
Re Mn Ti
4 2 2
Direct
0.0877 0.6250 0.2500
0.8750 0.9123 0.7500
0.3750 0.3377 0.7500
0.6623 0.1250 0.2500
0.0000 0.0000 0.0000
0.7500 0.2500 0.5000
0.5000 0.5000 0.0000
0.2500 0.7500 0.5000
```

Properties
Space group = I-42d (122)
V = 15.469 A^3/atom
ΔH_f (0 K) = 2.034 eV per formula unit

***

The following is a DFT calculation (PBE) of a geometry-optimized Ti3Mn2Re structure.

Geometry as POSCAR:
```
Ti3Mn2Re
1.0
3.0403 0.0000 0.0000
0.0000 3.0403 0.0000
0.0000 0.0000 9.1059
Ti Mn Re
3 2 1
Direct
0.0000 0.0000 0.3252
0.0000 0.0000 0.0000
0.0000 0.0000 0.6748
0.5000 0.5000 0.1606
0.5000 0.5000 0.8394
0.5000 0.5000 0.5000
```

Properties
Space group = P4/mmm (123)
V = 14.028 A^3/atom
ΔH_f (0 K) = -1.632 eV per formula unit

***

The following is a DFT calculation (PBE) of a geometry-optimized Mn2TlRe structure.

Geometry as POSCAR:
```
Mn2TlRe
1.0
-3.1364 -2.4090 2.5887
-1.0938 -4.2986 1.6331
2.2086 0.1945 4.3360
Mn Tl Re
2 1 1
Direct
0.7574 0.7574 0.7308
0.0032 0.0032 0.9774
0.2480 0.2480 0.2340
0.4915 0.4915 0.5577
```

Properties
Polymorph energy (0 for the lowest one) = 168 meV/atom
Space group = Cm (8)
V = 15.842 A^3/atom
ΔH_f (0 K) = 2.290 eV per formula unit